# 1
! Ni3GeH, relaxed, DFT GGA-PBEsol; values from VASP
! VASP energy = -0.4138 Ry per atom
! SG = No. 221
&SYSTEM
  ibrav = 0, nat = 5, ntyp = 3
/
ATOMIC_SPECIES
Ni 58.69 Ni.upf
H 1.01 H.upf
Ge 72.64 Ge.upf
ATOMIC_POSITIONS crystal
Ni 0.500 0.000 0.000
Ni 0.000 0.500 0.000
H 0.000 0.000 0.000
Ni 0.000 0.000 0.500
Ge 0.500 0.500 0.500
CELL_PARAMETERS angstrom
-1.780 -3.036 -0.669
1.209 0.034 -3.372
2.864 -1.901 1.008



# 2
! Ni3GeH, relaxed, DFT GGA-PBEsol; values from VASP
! VASP energy = -0.2980 Ry per atom
! SG = No. 221
&SYSTEM
  ibrav = 0, nat = 5, ntyp = 3
/
ATOMIC_SPECIES
Ni 58.69 Ni.upf
H 1.01 H.upf
Ge 72.64 Ge.upf
ATOMIC_POSITIONS crystal
Ni 0.500 0.000 0.000
H 0.500 0.500 0.500
Ni 0.000 0.500 0.000
Ni 0.000 0.000 0.500
Ge 0.000 0.000 0.000
CELL_PARAMETERS angstrom
-1.080 -3.093 -2.765
-2.271 -1.951 3.068
-3.472 2.238 -1.147



# 3
! TcNiGe2H, relaxed, DFT GGA-PBEsol; values from VASP
! VASP energy = -0.4353 Ry per atom
! SG = No. 123
&SYSTEM
  ibrav = 0, nat = 5, ntyp = 4
/
ATOMIC_SPECIES
Tc 98.00 Tc.upf
Ge 72.64 Ge.upf
Ni 58.69 Ni.upf
H 1.01 H.upf
ATOMIC_POSITIONS crystal
Tc 0.500 0.000 0.000
Ge 0.000 0.000 0.500
Ni 0.500 0.500 0.500
H 0.000 0.000 0.000
Ge 0.000 0.500 0.000
CELL_PARAMETERS angstrom
3.304 0.000 0.000
0.000 4.188 0.000
0.000 0.000 4.188



# 4
! GeH3O, relaxed, DFT GGA-PBEsol; values from VASP
! VASP energy = -0.2406 Ry per atom
! SG = No. 221
&SYSTEM
  ibrav = 0, nat = 5, ntyp = 3
/
ATOMIC_SPECIES
Ge 72.64 Ge.upf
H 1.01 H.upf
O 16.00 O.upf
ATOMIC_POSITIONS crystal
Ge 0.500 0.500 0.500
H 0.500 0.000 0.000
O 0.000 0.000 0.000
H 0.000 0.500 0.000
H 0.000 0.000 0.500
CELL_PARAMETERS angstrom
-1.204 -2.979 -0.647
0.991 -1.040 2.946
-2.883 0.887 1.283



# 5
! SrGeH2O4, relaxed, DFT GGA-PBEsol; values from VASP
! VASP energy = -0.4550 Ry per atom
! SG = No. 122
&SYSTEM
  ibrav = 0, nat = 16, ntyp = 4
/
ATOMIC_SPECIES
H 1.01 H.upf
O 16.00 O.upf
Sr 87.62 Sr.upf
Ge 72.64 Ge.upf
ATOMIC_POSITIONS crystal
H 0.301 0.875 0.926
H 0.125 0.051 0.426
O 0.919 0.505 0.241
H 0.949 0.375 0.074
Sr 0.500 0.500 0.000
O 0.265 0.678 0.759
Ge 0.000 0.000 0.000
O 0.495 0.735 0.414
O 0.755 0.669 0.741
Ge 0.250 0.750 0.500
O 0.928 0.015 0.259
Sr 0.750 0.250 0.500
O 0.985 0.245 0.914
O 0.322 0.081 0.586
H 0.625 0.699 0.574
O 0.331 0.072 0.086
CELL_PARAMETERS angstrom
-0.332 -1.929 5.848
4.184 -2.977 -3.415
1.658 5.938 0.137



# 6
! GeHOs3, relaxed, DFT GGA-PBEsol; values from VASP
! VASP energy = -0.6182 Ry per atom
! SG = No. 221
&SYSTEM
  ibrav = 0, nat = 5, ntyp = 3
/
ATOMIC_SPECIES
Os 190.23 Os.upf
Ge 72.64 Ge.upf
H 1.01 H.upf
ATOMIC_POSITIONS crystal
Os 0.500 0.000 0.000
Ge 0.500 0.500 0.500
Os 0.000 0.000 0.500
H 0.000 0.000 0.000
Os 0.000 0.500 0.000
CELL_PARAMETERS angstrom
3.903 0.000 0.000
0.000 3.903 0.000
0.000 0.000 3.903



# 7
! Ge3HOs, relaxed, DFT GGA-PBEsol; values from VASP
! VASP energy = -0.3948 Ry per atom
! SG = No. 221
&SYSTEM
  ibrav = 0, nat = 5, ntyp = 3
/
ATOMIC_SPECIES
H 1.01 H.upf
Ge 72.64 Ge.upf
Os 190.23 Os.upf
ATOMIC_POSITIONS crystal
H 0.000 0.000 0.000
Ge 0.500 0.000 0.000
Ge 0.000 0.500 0.000
Ge 0.000 0.000 0.500
Os 0.500 0.500 0.500
CELL_PARAMETERS angstrom
-3.036 0.870 2.526
0.597 -3.506 1.925
2.604 1.818 2.504



# 8
! Ge2P2H, relaxed, DFT GGA-PBEsol; values from VASP
! VASP energy = -0.3218 Ry per atom
! SG = No. 139
&SYSTEM
  ibrav = 0, nat = 5, ntyp = 3
/
ATOMIC_SPECIES
H 1.01 H.upf
P 30.97 P.upf
Ge 72.64 Ge.upf
ATOMIC_POSITIONS crystal
H 0.000 0.000 0.000
P 0.250 0.750 0.500
Ge 0.412 0.412 0.823
Ge 0.588 0.588 0.177
P 0.750 0.250 0.500
CELL_PARAMETERS angstrom
-1.040 1.514 2.685
-2.746 0.831 -1.533
-1.240 -7.346 1.691



# 9
! Ge2PH, relaxed, DFT GGA-PBEsol; values from VASP
! VASP energy = -0.3218 Ry per atom
! SG = No. 122
&SYSTEM
  ibrav = 0, nat = 8, ntyp = 3
/
ATOMIC_SPECIES
Ge 72.64 Ge.upf
H 1.01 H.upf
P 30.97 P.upf
ATOMIC_POSITIONS crystal
Ge 0.625 0.558 0.750
H 0.500 0.500 0.000
Ge 0.808 0.375 0.250
H 0.750 0.250 0.500
Ge 0.125 0.192 0.750
Ge 0.442 0.875 0.250
P 0.000 0.000 0.000
P 0.250 0.750 0.500
CELL_PARAMETERS angstrom
-4.469 2.659 0.123
-0.837 -1.632 4.867
4.977 3.314 -0.812



# 10
! GePH2, relaxed, DFT GGA-PBEsol; values from VASP
! VASP energy = -0.2678 Ry per atom
! SG = No. 225
&SYSTEM
  ibrav = 0, nat = 4, ntyp = 3
/
ATOMIC_SPECIES
P 30.97 P.upf
H 1.01 H.upf
Ge 72.64 Ge.upf
ATOMIC_POSITIONS crystal
P 0.000 0.000 0.000
H 0.250 0.250 0.250
Ge 0.500 0.500 0.500
H 0.750 0.750 0.750
CELL_PARAMETERS angstrom
3.759 0.000 0.000
1.880 3.256 0.000
1.880 1.085 3.070



# 11
! Ge2PHPt, relaxed, DFT GGA-PBEsol; values from VASP
! VASP energy = -0.3532 Ry per atom
! SG = No. 123
&SYSTEM
  ibrav = 0, nat = 5, ntyp = 4
/
ATOMIC_SPECIES
P 30.97 P.upf
Pt 195.08 Pt.upf
Ge 72.64 Ge.upf
H 1.01 H.upf
ATOMIC_POSITIONS crystal
P 0.500 0.000 0.000
Pt 0.500 0.500 0.500
Ge 0.000 0.500 0.000
H 0.000 0.000 0.000
Ge 0.000 0.000 0.500
CELL_PARAMETERS angstrom
-0.264 2.583 3.244
-2.612 -2.509 1.785
3.068 -1.926 1.783



# 12
! GeHPb2, relaxed, DFT GGA-PBEsol; values from VASP
! VASP energy = -0.2685 Ry per atom
! SG = No. 225
&SYSTEM
  ibrav = 0, nat = 4, ntyp = 3
/
ATOMIC_SPECIES
H 1.01 H.upf
Ge 72.64 Ge.upf
Pb 207.20 Pb.upf
ATOMIC_POSITIONS crystal
H 0.000 0.000 0.000
Ge 0.500 0.500 0.500
Pb 0.250 0.250 0.250
Pb 0.750 0.750 0.750
CELL_PARAMETERS angstrom
-0.882 3.006 -3.799
-4.052 -0.608 -2.731
-3.658 3.286 0.258



# 13
! GeH2Pd, relaxed, DFT GGA-PBEsol; values from VASP
! VASP energy = -0.2790 Ry per atom
! SG = No. 225
&SYSTEM
  ibrav = 0, nat = 4, ntyp = 3
/
ATOMIC_SPECIES
H 1.01 H.upf
Ge 72.64 Ge.upf
Pd 106.42 Pd.upf
ATOMIC_POSITIONS crystal
H 0.250 0.250 0.250
Ge 0.000 0.000 0.000
Pd 0.500 0.500 0.500
H 0.750 0.750 0.750
CELL_PARAMETERS angstrom
-2.430 0.523 2.908
-2.606 -2.678 0.820
0.346 -2.095 3.182



# 14
! GeH2Pd2, relaxed, DFT GGA-PBEsol; values from VASP
! VASP energy = -0.3449 Ry per atom
! SG = No. 127
&SYSTEM
  ibrav = 0, nat = 10, ntyp = 3
/
ATOMIC_SPECIES
Ge 72.64 Ge.upf
Pd 106.42 Pd.upf
H 1.01 H.upf
ATOMIC_POSITIONS crystal
Ge 0.000 0.000 0.000
Pd 0.500 0.797 0.703
H 0.000 0.909 0.591
H 0.000 0.409 0.909
Pd 0.500 0.203 0.297
Pd 0.500 0.297 0.797
Pd 0.500 0.703 0.203
H 0.000 0.091 0.409
H 0.000 0.591 0.091
Ge 0.000 0.500 0.500
CELL_PARAMETERS angstrom
2.863 0.000 0.000
0.000 6.181 0.000
0.000 0.000 6.181



# 15
! Ge3HPt, relaxed, DFT GGA-PBEsol; values from VASP
! VASP energy = -0.3077 Ry per atom
! SG = No. 221
&SYSTEM
  ibrav = 0, nat = 5, ntyp = 3
/
ATOMIC_SPECIES
H 1.01 H.upf
Ge 72.64 Ge.upf
Pt 195.08 Pt.upf
ATOMIC_POSITIONS crystal
H 0.500 0.500 0.500
Ge 0.000 0.500 0.000
Ge 0.500 0.000 0.000
Ge 0.000 0.000 0.500
Pt 0.000 0.000 0.000
CELL_PARAMETERS angstrom
-1.069 4.220 -2.082
-4.103 -1.881 -1.706
-2.303 1.392 4.005



# 16
! RbGe3H, relaxed, DFT GGA-PBEsol; values from VASP
! VASP energy = -0.1186 Ry per atom
! SG = No. 221
&SYSTEM
  ibrav = 0, nat = 5, ntyp = 3
/
ATOMIC_SPECIES
Ge 72.64 Ge.upf
H 1.01 H.upf
Rb 85.47 Rb.upf
ATOMIC_POSITIONS crystal
Ge 0.500 0.000 0.000
H 0.500 0.500 0.500
Rb 0.000 0.000 0.000
Ge 0.000 0.500 0.000
Ge 0.000 0.000 0.500
CELL_PARAMETERS angstrom
5.768 0.000 0.000
0.000 5.768 0.000
0.000 0.000 5.768



# 17
! ReGe2H2, relaxed, DFT GGA-PBEsol; values from VASP
! VASP energy = -0.4217 Ry per atom
! SG = No. 139
&SYSTEM
  ibrav = 0, nat = 5, ntyp = 3
/
ATOMIC_SPECIES
Ge 72.64 Ge.upf
Re 186.21 Re.upf
H 1.01 H.upf
ATOMIC_POSITIONS crystal
Ge 0.500 0.750 0.250
Re 0.000 0.000 0.000
H 0.000 0.333 0.333
Ge 0.500 0.250 0.750
H 0.000 0.667 0.667
CELL_PARAMETERS angstrom
4.174 0.007 0.011
-1.650 3.833 -0.011
-1.650 -1.665 3.453



# 18
! Re2GeH, relaxed, DFT GGA-PBEsol; values from VASP
! VASP energy = -0.5762 Ry per atom
! SG = No. 225
&SYSTEM
  ibrav = 0, nat = 4, ntyp = 3
/
ATOMIC_SPECIES
Ge 72.64 Ge.upf
H 1.01 H.upf
Re 186.21 Re.upf
ATOMIC_POSITIONS crystal
Ge 0.500 0.500 0.500
H 0.000 0.000 0.000
Re 0.250 0.250 0.250
Re 0.750 0.750 0.750
CELL_PARAMETERS angstrom
-3.992 0.759 0.627
-2.282 -2.651 2.162
-1.334 1.020 3.754



# 19
! ReGeH3, relaxed, DFT GGA-PBEsol; values from VASP
! VASP energy = -0.3729 Ry per atom
! SG = No. 221
&SYSTEM
  ibrav = 0, nat = 5, ntyp = 3
/
ATOMIC_SPECIES
H 1.01 H.upf
Ge 72.64 Ge.upf
Re 186.21 Re.upf
ATOMIC_POSITIONS crystal
H 0.000 0.500 0.000
Ge 0.500 0.500 0.500
H 0.000 0.000 0.500
Re 0.000 0.000 0.000
H 0.500 0.000 0.000
CELL_PARAMETERS angstrom
3.530 0.000 0.000
0.000 3.530 0.000
0.000 0.000 3.530



# 20
! GeH2Rh, relaxed, DFT GGA-PBEsol; values from VASP
! VASP energy = -0.3467 Ry per atom
! SG = No. 122
&SYSTEM
  ibrav = 0, nat = 8, ntyp = 3
/
ATOMIC_SPECIES
Ge 72.64 Ge.upf
Rh 102.91 Rh.upf
H 1.01 H.upf
ATOMIC_POSITIONS crystal
Ge 0.750 0.250 0.500
Rh 0.250 0.750 0.500
H 0.625 0.731 0.750
Rh 0.000 0.000 0.000
H 0.981 0.375 0.250
H 0.269 0.875 0.250
H 0.125 0.019 0.750
Ge 0.500 0.500 0.000
CELL_PARAMETERS angstrom
-1.957 2.642 -2.134
-3.122 -2.368 -0.068
0.780 2.060 5.436



# 21
! Zr2GeHRh, relaxed, DFT GGA-PBEsol; values from VASP
! VASP energy = -0.5548 Ry per atom
! SG = No. 123
&SYSTEM
  ibrav = 0, nat = 5, ntyp = 4
/
ATOMIC_SPECIES
Zr 91.22 Zr.upf
Rh 102.91 Rh.upf
Ge 72.64 Ge.upf
H 1.01 H.upf
ATOMIC_POSITIONS crystal
Zr 0.000 0.500 0.000
Rh 0.500 0.000 0.000
Ge 0.500 0.500 0.500
H 0.000 0.000 0.000
Zr 0.000 0.000 0.500
CELL_PARAMETERS angstrom
-2.684 2.729 -0.602
-2.495 -2.893 -1.988
-1.849 -0.989 3.761



# 22
! Ge2HRu, relaxed, DFT GGA-PBEsol; values from VASP
! VASP energy = -0.3944 Ry per atom
! SG = No. 225
&SYSTEM
  ibrav = 0, nat = 4, ntyp = 3
/
ATOMIC_SPECIES
Ru 101.07 Ru.upf
Ge 72.64 Ge.upf
H 1.01 H.upf
ATOMIC_POSITIONS crystal
Ru 0.500 0.500 0.500
Ge 0.750 0.750 0.750
Ge 0.250 0.250 0.250
H 0.000 0.000 0.000
CELL_PARAMETERS angstrom
-2.443 -3.154 -1.215
-1.292 -2.828 2.780
-4.004 -0.104 1.163



# 23
! GeH2Ru, relaxed, DFT GGA-PBEsol; values from VASP
! VASP energy = -0.3744 Ry per atom
! SG = No. 122
&SYSTEM
  ibrav = 0, nat = 8, ntyp = 3
/
ATOMIC_SPECIES
Ru 101.07 Ru.upf
H 1.01 H.upf
Ge 72.64 Ge.upf
ATOMIC_POSITIONS crystal
Ru 0.000 0.000 0.000
H 0.125 0.885 0.750
H 0.115 0.375 0.250
Ru 0.250 0.750 0.500
H 0.625 0.865 0.750
H 0.135 0.875 0.250
Ge 0.500 0.500 0.000
Ge 0.750 0.250 0.500
CELL_PARAMETERS angstrom
-0.324 -0.350 -3.548
-0.644 -3.498 0.403
-5.555 3.086 2.009



# 24
! GeH3S, relaxed, DFT GGA-PBEsol; values from VASP
! VASP energy = -0.2330 Ry per atom
! SG = No. 221
&SYSTEM
  ibrav = 0, nat = 5, ntyp = 3
/
ATOMIC_SPECIES
H 1.01 H.upf
S 32.06 S.upf
Ge 72.64 Ge.upf
ATOMIC_POSITIONS crystal
H 0.000 0.500 0.000
H 0.500 0.000 0.000
S 0.500 0.500 0.500
Ge 0.000 0.000 0.000
H 0.000 0.000 0.500
CELL_PARAMETERS angstrom
3.601 0.000 0.000
0.000 3.601 0.000
0.000 0.000 3.601



# 25
! GeSbH2, relaxed, DFT GGA-PBEsol; values from VASP
! VASP energy = -0.2624 Ry per atom
! SG = No. 122
&SYSTEM
  ibrav = 0, nat = 8, ntyp = 3
/
ATOMIC_SPECIES
H 1.01 H.upf
Ge 72.64 Ge.upf
Sb 121.76 Sb.upf
ATOMIC_POSITIONS crystal
H 0.316 0.691 0.125
Ge 0.000 0.500 0.500
H 0.684 0.559 0.625
Ge 0.500 0.750 0.750
H 0.816 0.125 0.559
Sb 0.000 0.000 0.000
H 0.184 0.625 0.691
Sb 0.500 0.250 0.250
CELL_PARAMETERS angstrom
5.444 0.002 -0.002
-2.687 4.735 0.002
2.687 1.606 4.454



# 26
! SiGe3H, relaxed, DFT GGA-PBEsol; values from VASP
! VASP energy = -0.3142 Ry per atom
! SG = No. 221
&SYSTEM
  ibrav = 0, nat = 5, ntyp = 3
/
ATOMIC_SPECIES
H 1.01 H.upf
Si 28.09 Si.upf
Ge 72.64 Ge.upf
ATOMIC_POSITIONS crystal
H 0.000 0.000 0.000
Si 0.500 0.500 0.500
Ge 0.000 0.000 0.500
Ge 0.500 0.000 0.000
Ge 0.000 0.500 0.000
CELL_PARAMETERS angstrom
-0.091 2.602 -3.291
-3.874 -1.315 -0.933
-1.610 3.018 2.431



# 27
! Sn2GeH2, relaxed, DFT GGA-PBEsol; values from VASP
! VASP energy = -0.2620 Ry per atom
! SG = No. 123
&SYSTEM
  ibrav = 0, nat = 5, ntyp = 3
/
ATOMIC_SPECIES
Sn 118.71 Sn.upf
H 1.01 H.upf
Ge 72.64 Ge.upf
ATOMIC_POSITIONS crystal
Sn 0.000 0.000 0.500
Sn 0.500 0.500 0.500
H 0.000 0.500 0.000
Ge 0.000 0.000 0.000
H 0.500 0.000 0.000
CELL_PARAMETERS angstrom
-2.078 1.841 -2.931
-2.900 -2.792 0.302
-2.638 3.156 3.852



# 28
! TlSnGeH2, relaxed, DFT GGA-PBEsol; values from VASP
! VASP energy = -0.2345 Ry per atom
! SG = No. 123
&SYSTEM
  ibrav = 0, nat = 5, ntyp = 4
/
ATOMIC_SPECIES
Sn 118.71 Sn.upf
H 1.01 H.upf
Ge 72.64 Ge.upf
Tl 204.38 Tl.upf
ATOMIC_POSITIONS crystal
Sn 0.000 0.000 0.500
H 0.000 0.500 0.000
Ge 0.500 0.500 0.500
H 0.500 0.000 0.000
Tl 0.000 0.000 0.000
CELL_PARAMETERS angstrom
-0.833 0.435 3.794
-3.048 -2.414 -0.392
3.702 -4.897 1.374